Record 1
A geometry-optimized Sm5AuSe5 structure, computed with PBE.

Results
Total DFT energy (no corrections): -5.669 eV per atom

Geometry as extended XYZ:
```
11
Lattice="6.6100 -2.9751 0.0000 6.6100 2.9751 0.0000 -2.6536 0.0000 7.9930" Properties=species:S:1:pos:R:3 pbc="T T T"
Sm 0.0000 0.0000 0.0000
Sm 2.6635 0.0000 5.2738
Sm 4.0080 0.0000 1.3863
Sm 6.5584 0.0000 6.6067
Sm 7.9030 0.0000 2.7191
Au 6.6100 0.0000 0.0000
Se 0.0318 0.0000 6.7075
Se 1.3874 0.0000 2.6618
Se 5.2832 0.0000 3.9965
Se 9.1790 0.0000 5.3311
Se 10.5346 0.0000 1.2855
```

---

Record 2
A geometry-optimized Sm3AuSe2 structure, computed with PBE.

Results
Energy relative to the lowest polymorph listed for this composition: 0.03 eV/f.u.

Geometry as extended XYZ:
```
6
Lattice="-2.0586 2.9865 6.4626 2.0586 -2.9865 6.4626 2.0586 2.9865 -6.4626" Properties=species:S:1:pos:R:3 pbc="T T T"
Sm 0.0000 0.0000 0.0000
Sm 0.0000 0.0000 4.2612
Sm 0.0000 0.0000 8.6641
Au 0.0000 2.9865 0.0000
Se 2.0586 0.0000 2.1358
Se 0.0000 2.9865 4.3268
```

---

Record 3
A geometry-optimized Sm5AuSe4 structure, computed with PBE.

Results
Energy relative to the lowest polymorph listed for this composition: 0.00 eV/f.u.

Geometry as extended XYZ:
```
10
Lattice="-4.6818 4.6818 2.9826 4.6818 -4.6818 2.9826 4.6818 4.6818 -2.9826" Properties=species:S:1:pos:R:3 pbc="T T T"
Sm 0.0000 0.0000 0.0000
Sm 5.6330 1.8656 0.0000
Sm 1.8656 3.7306 0.0000
Sm 2.8162 0.9512 2.9826
Sm -0.9512 2.8162 2.9826
Au 0.0000 0.0000 2.9826
Se 2.8286 0.9214 0.0000
Se 3.7604 -1.8531 2.9826
Se 0.9214 6.5349 0.0000
Se 1.8531 3.7604 2.9826
```

---

Record 4
A geometry-optimized Sm4AuSe5 structure, computed with PBE.

Results
Total DFT energy (no corrections): -5.484 eV per atom

Geometry as extended XYZ:
```
10
Lattice="9.1786 -2.0726 0.0000 9.1786 2.0726 0.0000 -2.7428 0.0000 8.5372" Properties=species:S:1:pos:R:3 pbc="T T T"
Sm -0.6885 0.0000 2.3492
Sm 3.4081 0.0000 7.5468
Sm 12.2062 0.0000 0.9904
Sm 16.3029 0.0000 6.1879
Au 9.1786 0.0000 0.0000
Se 0.5547 0.0000 7.4308
Se 2.0859 0.0000 2.7049
Se 7.8072 0.0000 4.2686
Se 13.5285 0.0000 5.8323
Se 15.0597 0.0000 1.1064
```

---

Record 5
A geometry-optimized Sm3AuSe3 structure, computed with PBE.

Results
Total DFT energy (no corrections): -5.475 eV per atom

Geometry as extended XYZ:
```
14
Lattice="4.3727 2.5246 5.8794 -4.3727 2.5246 5.8794 0.0000 -5.0492 5.8794" Properties=species:S:1:pos:R:3 pbc="T T T"
Sm -1.6338 -2.7502 7.3718
Sm -3.1986 0.0399 10.2664
Sm -1.5648 2.7900 7.3718
Sm 1.5648 -2.7900 10.2665
Sm 3.1986 -0.0399 7.3718
Sm 1.6338 2.7502 10.2664
Au 0.0000 0.0000 2.8034
Au 0.0000 0.0000 14.8349
Se -2.5422 0.0452 7.2876
Se -1.3103 -2.1790 10.3506
Se 1.2319 -2.2242 7.2876
Se -1.2319 2.2242 10.3506
Se 1.3103 2.1790 7.2876
Se 2.5422 -0.0452 10.3506
```

---

Record 6
A geometry-optimized Sm5AuSe4 structure, computed with PBE.

Results
Energy relative to the lowest polymorph listed for this composition: 0.29 eV/f.u.

Geometry as extended XYZ:
```
10
Lattice="-2.0919 2.0919 14.9465 2.0919 -2.0919 14.9465 2.0919 2.0919 -14.9465" Properties=species:S:1:pos:R:3 pbc="T T T"
Sm 0.0000 0.0000 0.0000
Sm 0.0000 0.0000 5.9438
Sm 0.0000 0.0000 11.8871
Sm 0.0000 0.0000 18.0059
Sm 0.0000 0.0000 23.9492
Au 0.0000 0.0000 14.9465
Se 0.0000 0.0000 3.0106
Se 0.0000 0.0000 8.9410
Se 0.0000 0.0000 20.9520
Se 0.0000 0.0000 26.8824
```

---

Record 7
A geometry-optimized Sm6AuSe5 structure, computed with PBE.

Results
Total DFT energy (no corrections): -5.755 eV per atom

Geometry as extended XYZ:
```
12
Lattice="3.6319 -6.2924 0.0000 3.6319 6.2924 0.0000 -2.4227 0.0000 6.8456" Properties=species:S:1:pos:R:3 pbc="T T T"
Sm 1.2076 2.1057 1.7049
Sm 0.0001 0.0000 5.1348
Sm 1.2076 -2.1057 1.7049
Sm 3.6336 2.1057 5.1407
Sm 4.8411 0.0000 1.7108
Sm 3.6336 -2.1057 5.1407
Au 0.0000 0.0000 0.0000
Se 2.4206 4.1753 3.4228
Se 3.6319 2.0851 0.0000
Se 2.4206 0.0000 3.4228
Se 3.6319 -2.0851 0.0000
Se 2.4206 -4.1753 3.4228
```

---

Record 8
A geometry-optimized Sm2AuSe structure, computed with PBE.

Results
Energy relative to the lowest polymorph listed for this composition: 0.49 eV/f.u.

Geometry as extended XYZ:
```
4
Lattice="2.0280 1.1709 7.6627 -2.0280 1.1709 7.6627 0.0000 -2.3418 7.6627" Properties=species:S:1:pos:R:3 pbc="T T T"
Sm 0.0000 0.0000 0.0000
Sm 0.0000 0.0000 3.9245
Au 0.0000 0.0000 13.4295
Se 0.0000 0.0000 17.3221
```

---

Result set for Fermi-level density of states: 8.355 5.582 4.071 3.927 8.612 7.491 4.919 2.750 states/eV per cell, one per record in the order listed.